(one)
Compound: Cd2CSe
Source: Alexandria via LeMat-Bulk
Functional: PBE
Structure: optimized geometry

Cell and atoms, written as POSCAR:
```
Cd2CSe
1.0
-0.818 -4.062 -2.243
1.667 -4.041 1.760
-2.962 -3.161 1.855
C Se Cd
1 1 2
Direct
0.000 0.000 0.000 C
0.500 0.500 0.500 Se
0.250 0.250 0.250 Cd
0.750 0.750 0.750 Cd
```

Total magnetization in Bohr magnetons per cell: 0.00

(two)
Compound: Cd2CSe
Source: Alexandria via LeMat-Bulk
Functional: PBE
Structure: optimized geometry

Cell and atoms, written as POSCAR:
```
Cd2CSe
1.0
5.929 0.000 0.000
0.000 5.929 0.000
2.965 2.965 5.126
C Se Cd
2 2 4
Direct
0.500 0.500 0.000 C
0.250 0.750 0.500 C
0.000 0.000 0.000 Se
0.750 0.250 0.500 Se
0.556 0.125 0.250 Cd
0.194 0.625 0.250 Cd
0.375 0.444 0.750 Cd
0.875 0.806 0.750 Cd
```

Total magnetization in Bohr magnetons per cell: 0.00

The structures above, arranged from the most stable to the least stable: (two), (one).